Entry one
Here is OsPtRh at its PBEsol-relaxed geometry from Alexandria via LeMat-Bulk. Energies are from meta-GGA SCAN.

Lattice parameters (Å, degrees): 2.7102 2.7102 6.6594 90.00 90.00 120.00
Last column: nearest neighbours and their distance in Å.
Element x y z (fractional)
Os: 0.0000 0.0000 0.0000  3 Rh 2.62, 6 Os 2.71, 3 Pt 2.75
Pt: 0.3333 0.6667 0.6613  6 Pt 2.71, 3 Os 2.75, 3 Rh 2.78
Rh: 0.6667 0.3333 0.3155  3 Os 2.62, 6 Rh 2.71, 3 Pt 2.78

Output
- symmetry = P3m1, No. 156
- calculated volume (Å³/cell) = 42

Entry two
Here is OsPtRh at its PBEsol-relaxed geometry from Alexandria via LeMat-Bulk. Energies are from meta-GGA SCAN.

Lattice parameters (Å, degrees): 6.1242 6.1242 6.1242 154.51 154.51 36.36
Last column: nearest neighbours and their distance in Å.
Element x y z (fractional)
Os: 0.0000 0.0000 0.0000  4 Rh 2.62, 4 Os 2.70, 4 Pt 2.74
Pt: 0.6683 0.6683 0.0000  4 Pt 2.70, 4 Os 2.74, 4 Rh 2.82
Rh: 0.3460 0.3460 0.0000  4 Os 2.62, 4 Rh 2.70, 4 Pt 2.82

Output
- symmetry = I4mm, No. 107
- calculated volume (Å³/cell) = 42

On energetic grounds, entry two is preferred over the next structure by 0.040 eV/atom.

Entry one
Here is OsPtRh2 at its PBEsol-relaxed geometry from Alexandria via LeMat-Bulk. Energies are from meta-GGA SCAN.

Lattice parameters (Å, degrees): 4.6836 4.6836 4.6786 99.40 99.40 33.38
Last column: nearest neighbours and their distance in Å.
Element x y z (fractional)
Os: 0.0000 0.0000 0.0000  7 Rh 2.66-2.73, 2 Os 2.69, 3 Pt 2.71
Pt: 0.2499 0.2499 0.7453  7 Rh 2.67-2.73, 2 Pt 2.69, 3 Os 2.71
Rh: 0.4971 0.4971 0.4909  4 Os 2.67-2.73, 5 Rh 2.69-2.72, 3 Pt 2.69-2.73
Rh: 0.7459 0.7459 0.2366  3 Os 2.66-2.70, 4 Pt 2.67-2.73, 5 Rh 2.69-2.72

Output
- symmetry = Cm, No. 8
- calculated volume (Å³/cell) = 56

Entry two
Here is OsPtRh2 at its PBEsol-relaxed geometry from Alexandria via LeMat-Bulk. Energies are from meta-GGA SCAN.

Lattice parameters (Å, degrees): 8.9752 8.9752 8.9752 17.30 17.30 17.30
Last column: nearest neighbours and their distance in Å.
Element x y z (fractional)
Os: 0.0000 0.0000 0.0000  3 Rh 2.63, 6 Os 2.70, 3 Pt 2.74
Pt: 0.2484 0.2484 0.2484  6 Pt 2.70, 3 Os 2.74, 3 Rh 2.75
Rh: 0.4962 0.4962 0.4962  9 Rh 2.69-2.70, 3 Pt 2.75
Rh: 0.7467 0.7467 0.7467  3 Os 2.63, 9 Rh 2.69-2.70

Output
- symmetry = R3m, No. 160
- calculated volume (Å³/cell) = 56

On energetic grounds, entry one is preferred over the next structure by 0.015 eV/atom.